A relaxed Li2CoNi crystal, computed with GGA-PBEsol.

Cell lengths 2.4094, 2.4094, 8.4795 Å; angles 90.00, 90.00, 117.16 degrees
Fractional coordinates of all 4 atoms:
Li 0.0000 0.0000 0.2464
Li 0.0000 0.0000 0.7536
Co 0.5000 0.5000 0.5000
Ni 0.5000 0.5000 0.0000

Computed properties:
Mass density (g/cm³): 4.986
Energy above the lowest structure with this stoichiometry (meV/atom): 13
Magnetic moment (μB per formula unit): 1.232
Energy of formation from the pure elements (eV/atom): 0.098



A relaxed LaCrRe2 crystal, computed with GGA-PBEsol.

Cell lengths 3.7671, 3.7671, 4.9532 Å; angles 90.00, 90.00, 90.00 degrees
Fractional coordinates of all 4 atoms:
La 0.0000 0.0000 0.0000
Cr 0.5000 0.5000 0.0000
Re 0.0000 0.5000 0.5000
Re 0.5000 0.0000 0.5000

Computed properties:
Mass density (g/cm³): 13.308
Energy above the lowest structure with this stoichiometry (meV/atom): 402
Magnetic moment (μB per formula unit): 2.490
Energy of formation from the pure elements (eV/atom): 0.973



A relaxed CuReSe4 crystal, computed with GGA-PBEsol.

Cell lengths 5.4429, 5.4429, 5.4429 Å; angles 60.00, 60.00, 60.00 degrees
Fractional coordinates of all 6 atoms:
Cu 0.0000 0.0000 0.0000
Re 0.2500 0.2500 0.2500
Se 0.1261 0.6246 0.6246
Se 0.6246 0.1261 0.6246
Se 0.6246 0.6246 0.1261
Se 0.6246 0.6246 0.6246

Computed properties:
Formation energy without anion corrections (eV/f.u.): 8.6
Mass density (g/cm³): 8.237
Magnetic moment (μB per formula unit): 3.327



A relaxed Fe2CoSb crystal, computed with GGA-PBEsol.

Cell lengths 4.6642, 4.6642, 4.6642 Å; angles 134.46, 134.46, 66.37 degrees
Fractional coordinates of all 4 atoms:
Fe 0.2500 0.7500 0.5000
Fe 0.7500 0.2500 0.5000
Co 0.0000 0.0000 0.0000
Sb 0.5000 0.5000 0.0000

Computed properties:
Formation energy without anion corrections (eV/f.u.): 0.3
Mass density (g/cm³): 9.543
Magnetic moment (μB per formula unit): 5.113



A relaxed ScCuPb2 crystal, computed with GGA-PBEsol.

Cell lengths 4.9816, 4.9816, 4.9816 Å; angles 60.00, 60.00, 60.00 degrees
Fractional coordinates of all 4 atoms:
Sc 0.0000 0.0000 0.0000
Cu 0.5000 0.5000 0.5000
Pb 0.2500 0.2500 0.2500
Pb 0.7500 0.7500 0.7500

Computed properties:
Mass density (g/cm³): 9.933
Energy above the lowest structure with this stoichiometry (meV/atom): 133
Magnetic moment (μB per formula unit): 0.000
Energy of formation from the pure elements (eV/atom): 0.075



A relaxed LuS crystal, computed with GGA-PBEsol.

Cell lengths 3.7518, 3.7518, 3.7518 Å; angles 60.00, 60.00, 60.00 degrees
Fractional coordinates of all 2 atoms:
Lu 0.0000 0.0000 0.0000
S 0.5000 0.5000 0.5000

Computed properties:
Formation energy without anion corrections (eV/f.u.): -4.0
Mass density (g/cm³): 9.206
Magnetic moment (μB per formula unit): 0.000



A relaxed ZrBrCl2 crystal, computed with GGA-PBEsol.

Cell lengths 4.7475, 4.7475, 4.7475 Å; angles 60.00, 60.00, 60.00 degrees
Fractional coordinates of all 4 atoms:
Zr 0.0000 0.0000 0.0000
Br 0.5000 0.5000 0.5000
Cl 0.2500 0.2500 0.2500
Cl 0.7500 0.7500 0.7500

Computed properties:
Formation energy without anion corrections (eV/f.u.): -3.0
Mass density (g/cm³): 5.312
Energy above the lowest structure with this stoichiometry (meV/atom): 832
Magnetic moment (μB per formula unit): 0.626



A relaxed ReH2Rh crystal, computed with GGA-PBEsol.

Cell lengths 5.0000, 5.0000, 5.0000 Å; angles 131.47, 131.47, 71.07 degrees
Fractional coordinates of all 8 atoms:
Re 0.0000 0.0000 0.0000
Re 0.7500 0.2500 0.5000
H 0.1400 0.6250 0.0150
H 0.3750 0.3900 0.5150
H 0.6100 0.1250 0.9850
H 0.8750 0.8600 0.4850
Rh 0.2500 0.7500 0.5000
Rh 0.5000 0.5000 0.0000

Computed properties:
Mass density (g/cm³): 14.070
Energy above the lowest structure with this stoichiometry (meV/atom): 0
Magnetic moment (μB per formula unit): 0.000



A relaxed Ca2CdHg crystal, computed with GGA-PBEsol.

Cell lengths 5.2808, 5.2808, 5.2808 Å; angles 60.00, 60.00, 60.00 degrees
Fractional coordinates of all 4 atoms:
Ca 0.2500 0.2500 0.2500
Ca 0.7500 0.7500 0.7500
Cd 0.0000 0.0000 0.0000
Hg 0.5000 0.5000 0.5000

Computed properties:
Mass density (g/cm³): 6.269
Energy above the lowest structure with this stoichiometry (meV/atom): 4
Magnetic moment (μB per formula unit): 0.000
Energy of formation from the pure elements (eV/atom): -0.488



A relaxed IrPb2W crystal, computed with GGA-PBEsol.

Cell lengths 3.0164, 3.0164, 9.2910 Å; angles 90.00, 90.00, 90.00 degrees
Fractional coordinates of all 4 atoms:
Ir 0.0000 0.0000 0.0000
Pb 0.0000 0.0000 0.5867
Pb 0.5000 0.5000 0.2355
W 0.5000 0.5000 0.8329

Computed properties:
Mass density (g/cm³): 15.527
Energy above the lowest structure with this stoichiometry (meV/atom): 0
Magnetic moment (μB per formula unit): 0.000
Energy of formation from the pure elements (eV/atom): 0.290



A relaxed TcWAu2 crystal, computed with GGA-PBEsol.

Cell lengths 3.4238, 3.4238, 5.4174 Å; angles 90.00, 90.00, 90.00 degrees
Fractional coordinates of all 4 atoms:
Tc 0.0000 0.0000 0.0000
W 0.0000 0.0000 0.5000
Au 0.5000 0.5000 0.2490
Au 0.5000 0.5000 0.7510

Computed properties:
Mass density (g/cm³): 17.670
Energy above the lowest structure with this stoichiometry (meV/atom): 341
Magnetic moment (μB per formula unit): 0.000
Energy of formation from the pure elements (eV/atom): 0.571



A relaxed SiIr2Br crystal, computed with GGA-PBEsol.

Cell lengths 2.8492, 2.8492, 9.7188 Å; angles 90.00, 90.00, 122.09 degrees
Fractional coordinates of all 4 atoms:
Si 0.0000 0.0000 0.0000
Ir 0.0000 0.0000 0.5581
Ir 0.5000 0.5000 0.7928
Br 0.5000 0.5000 0.3287

Computed properties:
Formation energy without anion corrections (eV/f.u.): 2.2
Mass density (g/cm³): 12.234
Energy above the lowest structure with this stoichiometry (meV/atom): 142
Magnetic moment (μB per formula unit): 0.000